# 1
Below is an optimized crystal structure of Nd3YAl8, with properties calculated at the PBE-GGA level.

Cell lengths 5.6452, 5.6452, 9.3110 Å; angles 90.00, 90.00, 120.00 degrees
Last column: nearest neighbours and their distance in Å.
Element x y z (fractional)
Nd  0.6667  0.3333  0.4325  12 Al 3.28-3.33, 1 Nd 3.38, 3 Y 3.50
Nd  0.6667  0.3333  0.0692  12 Al 3.30-3.39, 4 Nd 3.38-3.50
Nd  0.0000  0.0000  0.9325  12 Al 3.31-3.37, 1 Y 3.39, 3 Nd 3.50
Y  0.0000  0.0000  0.5682  12 Al 3.28-3.34, 4 Nd 3.39-3.50
Al  0.3333  0.6667  0.5012  6 Al 2.84-2.86
Al  0.3333  0.6667  0.9983  6 Al 2.87-2.90
Al  0.5043  0.0085  0.7473  6 Al 2.75-2.89
Al  0.5043  0.4957  0.7473  6 Al 2.75-2.89
Al  0.9915  0.4957  0.7473  6 Al 2.75-2.89
Al  0.1622  0.3243  0.2521  6 Al 2.75-2.90
Al  0.1622  0.8378  0.2521  6 Al 2.75-2.90
Al  0.6757  0.8378  0.2521  6 Al 2.75-2.90

energy	-4.719	eV per atom
excess energy over the best structure of this formula in the dataset	10	meV per atom
formation energy from the elements	-0.4931	eV/atom



# 2
Below is an optimized crystal structure of Dy3ErSn3, with properties calculated at the PBE-GGA level.

Cell lengths 5.4242, 9.0719, 9.0719 Å; angles 120.00, 90.00, 90.00 degrees
Last column: nearest neighbours and their distance in Å.
Element x y z (fractional)
Dy  0.7500  0.7599  0.7666  4 Sn 3.03-3.21
Dy  0.7500  0.2334  0.9933  4 Sn 3.03-3.21
Dy  0.7500  0.0067  0.2401  4 Sn 3.03-3.21
Dy  0.2500  0.2401  0.2334  4 Sn 3.03-3.21
Dy  0.2500  0.7666  0.0067  4 Sn 3.03-3.21
Dy  0.2500  0.9933  0.7599  4 Sn 3.03-3.21
Er  0.2500  0.6667  0.3333  9 Sn 3.31-3.46, 3 Dy 3.51
Er  0.7500  0.3333  0.6667  9 Sn 3.31-3.46, 3 Dy 3.51
Sn  0.2500  0.5446  0.6220  4 Dy 3.03-3.21, 1 Er 3.31, 2 Sn 3.33
Sn  0.2500  0.3780  0.9226  4 Dy 3.03-3.21, 1 Er 3.31, 2 Sn 3.33
Sn  0.2500  0.0774  0.4554  4 Dy 3.03-3.21, 1 Er 3.31, 2 Sn 3.33
Sn  0.7500  0.4554  0.3780  4 Dy 3.03-3.21, 1 Er 3.31, 2 Sn 3.33
Sn  0.7500  0.6220  0.0774  4 Dy 3.03-3.21, 1 Er 3.31, 2 Sn 3.33
Sn  0.7500  0.9226  0.5446  4 Dy 3.03-3.21, 1 Er 3.31, 2 Sn 3.33

energy	-4.838	eV per atom
formation energy from the elements	-0.4985	eV/atom



# 3
Below is an optimized crystal structure of BePPt2, with properties calculated at the PBE-GGA level.

Cell lengths 4.3774, 4.3774, 4.1685 Å; angles 76.77, 76.77, 44.53 degrees
Last column: nearest neighbours and their distance in Å.
Element x y z (fractional)
P  0.2656  0.2656  0.2082  5 Pt 2.40-2.48, 1 Be 2.61
Pt  0.0000  0.0000  0.0531  3 P 2.40-2.48, 2 Be 2.60
Pt  0.7544  0.7544  0.6557  3 Be 2.32-2.43, 2 P 2.48
Be  0.4800  0.4800  0.5830  3 Pt 2.32-2.43

energy	-5.651	eV per atom
excess energy over the best structure of this formula in the dataset	126	meV per atom
formation energy from the elements	-0.3463	eV/atom



# 4
Below is an optimized crystal structure of InC3, with properties calculated at the PBE-GGA level.

Cell lengths 3.5575, 4.8315, 6.1228 Å; angles 90.00, 90.00, 90.00 degrees
Last column: nearest neighbours and their distance in Å.
Element x y z (fractional)
In  0.0000  0.8034  0.0000  4 C 2.33-2.36
In  0.5000  0.1966  0.5000  4 C 2.33-2.36
C  0.5000  0.4929  0.0000  2 C 1.45
C  0.0000  0.5071  0.5000  2 C 1.45
C  0.0000  0.7683  0.3843  2 C 1.42-1.45
C  0.0000  0.7683  0.6157  2 C 1.42-1.45
C  0.5000  0.2317  0.8843  2 C 1.42-1.45
C  0.5000  0.2317  0.1157  2 C 1.42-1.45

energy	-6.108	eV per atom
excess energy over the best structure of this formula in the dataset	595	meV per atom
formation energy from the elements	1.4950	eV/atom



# 5
Below is an optimized crystal structure of YHg2Pb2, with properties calculated at the PBE-GGA level.

Cell lengths 4.4211, 4.4211, 8.2290 Å; angles 74.42, 74.42, 90.00 degrees
Last column: nearest neighbours and their distance in Å.
Element x y z (fractional)
Pb  0.7500  0.2500  0.5000  4 Pb 3.13, 4 Hg 3.25
Pb  0.2500  0.7500  0.5000  4 Pb 3.13, 4 Hg 3.25
Y  0.0000  0.0000  0.0000  8 Hg 3.44
Hg  0.4064  0.4064  0.1872  1 Hg 2.85
Hg  0.5936  0.5936  0.8128  1 Hg 2.85

energy	-2.891	eV per atom
excess energy over the best structure of this formula in the dataset	233	meV per atom
formation energy from the elements	0.0062	eV/atom



# 6
Below is an optimized crystal structure of Ho2Er5Sc4, with properties calculated at the PBE-GGA level.

Cell lengths 3.5184, 17.4844, 21.3019 Å; angles 165.31, 94.73, 90.02 degrees
Last column: nearest neighbours and their distance in Å.
Element x y z (fractional)
Ho  0.7848  0.3610  0.5694  5 Sc 3.36-3.59, 5 Er 3.50-3.64, 2 Ho 3.52
Ho  0.2152  0.6390  0.4306  5 Sc 3.36-3.59, 5 Er 3.50-3.64, 2 Ho 3.52
Er  0.1546  0.2145  0.3089  2 Sc 3.22, 7 Er 3.37-3.56, 2 Ho 3.57
Er  0.8454  0.7855  0.6911  2 Sc 3.22, 7 Er 3.37-3.56, 2 Ho 3.57
Er  0.2780  0.9831  0.5556  7 Sc 3.23-3.44, 4 Er 3.42-3.52, 1 Ho 3.50
Er  0.5000  0.0000  0.0000  8 Er 3.52-3.56, 4 Ho 3.63-3.64
Er  0.7220  0.0169  0.4444  7 Sc 3.23-3.44, 4 Er 3.42-3.52, 1 Ho 3.50
Sc  0.5325  0.3356  0.0650  4 Sc 3.14-3.52, 4 Er 3.22-3.29, 3 Ho 3.36-3.40
Sc  0.0242  0.6528  0.0483  5 Sc 3.14-3.52, 5 Er 3.23-3.44
Sc  0.4675  0.6644  0.9350  4 Sc 3.14-3.52, 4 Er 3.22-3.29, 3 Ho 3.36-3.40
Sc  0.9758  0.3472  0.9517  5 Sc 3.14-3.52, 5 Er 3.23-3.44

energy	-5.167	eV per atom
excess energy over the best structure of this formula in the dataset	0	meV per atom
formation energy from the elements	0.0413	eV/atom



Computed magnetization (μB per cell) in order:
0.00; 0.00; 0.00; 0.00; 0.00; 0.00